(1)
First-principles (PBE) data for a relaxed structure of Pr2ErHf, as listed in Alexandria.

Summary:
Crystal system ... tetragonal
Energy above the most stable polymorph in this dataset ... 0 meV per atom
Energy of formation from the pure elements ... 0.18 eV/atom

Cell: 4.9922 4.9922 4.8518 Å, 90.00 90.00 90.00°
Closest atoms and distances in Å follow each position.
Space group P4/mmm (No. 123)
Unique sites:
Pr: 0.0000 0.5000 0.0000  4 Hf 3.48, 4 Er 3.48, 4 Pr 3.53
Er: 0.0000 0.0000 0.5000  8 Pr 3.48, 4 Hf 3.53
Hf: 0.5000 0.5000 0.5000  8 Pr 3.48, 4 Er 3.53


(2)
First-principles (PBE) data for a relaxed structure of Ac16La7Pr6, as listed in Alexandria.

Summary:
Crystal system ... cubic
Energy of formation from the pure elements ... 0.21 eV/atom

Cell: 17.0023 17.0023 17.0023 Å, 90.00 90.00 90.00°
Closest atoms and distances in Å follow each position.
Space group Fm-3m (No. 225)
Unique sites:
Ac: 0.1216 0.1216 0.1216  4 La 3.58-3.72, 3 Ac 3.90, 3 Pr 3.98
Ac: 0.1534 0.1534 0.3466  3 La 3.49, 3 Pr 3.86, 3 Ac 3.90
La: 0.0000 0.0000 0.0000  8 Ac 3.58
La: 0.0000 0.2500 0.2500  8 Ac 3.49-3.72
Pr: 0.0000 0.0000 0.2807  8 Ac 3.86-3.98, 4 La 4.28


(3)
First-principles (PBE) data for a relaxed structure of Dy4CoHg2, as listed in Alexandria.

Summary:
Crystal system ... monoclinic
Energy above the most stable polymorph in this dataset ... 0 meV per atom
Energy of formation from the pure elements ... -0.21 eV/atom

Cell: 6.4667 3.6871 8.6303 Å, 90.00 110.69 90.00°
Closest atoms and distances in Å follow each position.
Space group P2/m (No. 10)
Unique sites:
Dy: 0.1176 0.0000 0.2450  1 Co 2.57
Dy: 0.3057 0.5000 0.6401  2 Co 2.66
Co: 0.0000 0.0000 0.5000  6 Dy 2.57-2.66
Hg: 0.2752 0.5000 0.0091  1 Hg 2.97, 6 Dy 3.17-3.28


(4)
First-principles (PBE) data for a relaxed structure of SiH3Au, as listed in Alexandria.

Summary:
Crystal system ... cubic
Energy above the most stable polymorph in this dataset ... 71 meV per atom

Cell: 3.7405 3.7405 3.7405 Å, 90.00 90.00 90.00°
Closest atoms and distances in Å follow each position.
Space group Pm-3m (No. 221)
Unique sites:
Si: 0.0000 0.0000 0.0000  12 H 2.64
H: 0.0000 0.5000 0.5000  2 Au 1.87
Au: 0.5000 0.5000 0.5000  6 H 1.87